No. 1
AgSbPd4: optimized geometry, PBE.

Calculated values
Total moment (μB/f.u.): 0.0
Polymorph energy (0 for the lowest one) (eV per formula unit): 0.00
Formation energy without anion corrections (meV/atom): -245
Symmetry: C2/m, No. 12

Cell: 9.071 3.945 5.874 Å, 90.00 108.44 90.00°
Element x y z (fractional)
Ag 0.000 0.000 0.000
Ag 0.500 0.500 0.000
Sb 0.000 0.000 0.500
Sb 0.500 0.500 0.500
Pd 0.163 0.500 0.335
Pd 0.167 0.500 0.830
Pd 0.333 0.000 0.170
Pd 0.337 0.000 0.665
Pd 0.663 0.000 0.335
Pd 0.667 0.000 0.830
Pd 0.833 0.500 0.170
Pd 0.837 0.500 0.665

---

No. 2
Ag2Sb2Pd: optimized geometry, PBE.

Calculated values
Total moment (μB/f.u.): 0.0
Polymorph energy (0 for the lowest one) (eV per formula unit): 0.00
Formation energy without anion corrections (meV/atom): 29
Symmetry: P4/mbm, No. 127

Cell: 7.045 7.045 4.497 Å, 90.00 90.00 90.00°
Element x y z (fractional)
Ag 0.155 0.345 0.000
Ag 0.345 0.845 0.000
Ag 0.655 0.155 0.000
Ag 0.845 0.655 0.000
Sb 0.153 0.653 0.500
Sb 0.347 0.153 0.500
Sb 0.653 0.847 0.500
Sb 0.847 0.347 0.500
Pd 0.000 0.000 0.500
Pd 0.500 0.500 0.500

---

No. 3
Ag3SbPd4: optimized geometry, PBE.

Calculated values
Total moment (μB/f.u.): 0.0
Formation energy without anion corrections (meV/atom): -185
Symmetry: Fmmm, No. 69

Cell: 7.232 7.230 4.586 Å, 71.54 71.49 36.97°
Element x y z (fractional)
Ag 0.000 0.000 0.000
Ag 0.247 0.247 0.753
Ag 0.753 0.753 0.247
Sb 0.500 0.500 0.500
Pd 0.121 0.121 0.379
Pd 0.379 0.379 0.121
Pd 0.621 0.621 0.879
Pd 0.879 0.879 0.621

---

No. 4
Ag2SbPd: optimized geometry, PBE.

Calculated values
Total moment (μB/f.u.): 0.0
Formation energy without anion corrections (meV/atom): 80
Symmetry: I-42d, No. 122

Cell: 7.761 7.761 5.422 Å, 90.00 90.00 90.00°
Element x y z (fractional)
Ag 0.242 0.250 0.125
Ag 0.250 0.742 0.375
Ag 0.250 0.758 0.875
Ag 0.258 0.250 0.625
Ag 0.742 0.750 0.625
Ag 0.750 0.242 0.875
Ag 0.750 0.258 0.375
Ag 0.758 0.750 0.125
Sb 0.000 0.000 0.500
Sb 0.000 0.500 0.750
Sb 0.500 0.000 0.250
Sb 0.500 0.500 0.000
Pd 0.000 0.000 0.000
Pd 0.000 0.500 0.250
Pd 0.500 0.000 0.750
Pd 0.500 0.500 0.500

---

No. 5
AgSb2Pd2: optimized geometry, PBE.

Calculated values
Total moment (μB/f.u.): 0.0
Polymorph energy (0 for the lowest one) (eV per formula unit): 1.01
Formation energy without anion corrections (meV/atom): -64
Symmetry: I4/mmm, No. 139

Cell: 3.921 3.921 14.143 Å, 90.00 90.00 90.00°
Element x y z (fractional)
Ag 0.000 0.000 0.000
Ag 0.500 0.500 0.500
Sb 0.000 0.000 0.385
Sb 0.000 0.000 0.615
Sb 0.500 0.500 0.115
Sb 0.500 0.500 0.885
Pd 0.000 0.500 0.250
Pd 0.000 0.500 0.750
Pd 0.500 0.000 0.250
Pd 0.500 0.000 0.750

---

No. 6
AgSbPd: optimized geometry, PBE.

Calculated values
Total moment (μB/f.u.): 0.0
Polymorph energy (0 for the lowest one) (eV per formula unit): 0.00
Formation energy without anion corrections (meV/atom): -173
Symmetry: I4mm, No. 107

Cell: 3.576 3.576 9.064 Å, 90.00 90.00 90.00°
Element x y z (fractional)
Ag 0.000 0.000 0.000
Ag 0.500 0.500 0.500
Sb 0.000 0.000 0.689
Sb 0.500 0.500 0.189
Pd 0.000 0.000 0.326
Pd 0.500 0.500 0.826

---

No. 7
AgSb3Pd: optimized geometry, PBE.

Calculated values
Total moment (μB/f.u.): 0.0
Polymorph energy (0 for the lowest one) (eV per formula unit): 0.00
Formation energy without anion corrections (meV/atom): 451
Symmetry: Pm-3m, No. 221

Cell: 5.243 5.243 5.243 Å, 90.00 90.00 90.00°
Element x y z (fractional)
Ag 0.000 0.000 0.000
Sb 0.000 0.500 0.500
Sb 0.500 0.000 0.500
Sb 0.500 0.500 0.000
Pd 0.500 0.500 0.500

---

No. 8
AgSb2Pd8: optimized geometry, PBE.

Calculated values
Total moment (μB/f.u.): 0.0
Polymorph energy (0 for the lowest one) (eV per formula unit): 1.15
Formation energy without anion corrections (meV/atom): -204
Symmetry: C2/m, No. 12

Cell: 7.067 7.067 4.732 Å, 102.24 102.24 116.47°
Element x y z (fractional)
Ag 0.000 0.000 0.000
Sb 0.313 0.687 0.500
Sb 0.687 0.313 0.500
Pd 0.087 0.318 0.614
Pd 0.226 0.774 0.000
Pd 0.318 0.087 0.614
Pd 0.398 0.398 0.179
Pd 0.602 0.602 0.821
Pd 0.682 0.913 0.386
Pd 0.774 0.226 0.000
Pd 0.913 0.682 0.386